Record 1
MnNb2InC | meta-GGA SCAN | single point on PBEsol structure

Lattice parameters (Å, degrees): 3.616 4.739 4.739 90.00 90.00 90.00
Element x y z (fractional)
C1 0.500 0.000 0.000
Nb1 0.000 0.000 0.500
Nb2 0.000 0.500 0.000
Mn1 0.000 0.000 0.000
In1 0.500 0.500 0.500

Properties
* electronic total energy: -24.75 eV/atom
* DOS at the Fermi energy: 4.2 states/eV/cell
* space group: No. 123

***

Record 2
Ag2SbAu | meta-GGA SCAN | single point on PBEsol structure

Lattice parameters (Å, degrees): 4.136 4.136 5.239 113.25 113.25 90.00
Element x y z (fractional)
Au1 0.500 0.500 0.000
Ag1 0.750 0.250 0.500
Ag2 0.250 0.750 0.500
Sb1 0.000 0.000 0.000

Properties
* electronic total energy: -42.27 eV/atom
* DOS at the Fermi energy: 1.4 states/eV/cell
* space group: No. 139

***

Record 3
Ag5Sb | meta-GGA SCAN | single point on PBEsol structure

Lattice parameters (Å, degrees): 3.068 5.550 6.870 105.78 90.00 106.04
Element x y z (fractional)
Ag1 0.390 0.780 0.281
Ag2 0.050 0.100 0.595
Ag3 0.340 0.679 0.666
Ag4 0.671 0.342 0.342
Ag5 0.999 0.998 0.014
Sb1 0.716 0.433 0.935

Properties
* electronic total energy: -32.29 eV/atom
* DOS at the Fermi energy: 1.6 states/eV/cell
* space group: No. 8
* offset from the most stable computed form: 0.034 eV per atom

***

Record 4
Ba2B5HO10 | meta-GGA SCAN | single point on PBEsol structure

Lattice parameters (Å, degrees): 6.655 8.664 14.797 90.00 93.89 90.00
Element x y z (fractional)
O1 0.366 0.946 0.250
O2 0.013 0.789 0.364
O3 0.362 0.653 0.904
O4 0.929 0.700 0.141
O5 0.257 0.393 0.628
O6 0.433 0.460 0.381
O7 0.789 0.699 0.988
O8 0.567 0.960 0.119
O9 0.071 0.300 0.859
O10 0.433 0.040 0.881
O11 0.673 0.875 0.335
O12 0.673 0.625 0.835
O13 0.855 0.304 0.982
O14 0.634 0.054 0.750
O15 0.987 0.211 0.636
O16 0.634 0.446 0.250
O17 0.327 0.375 0.165
O18 0.327 0.125 0.665
O19 0.145 0.696 0.018
O20 0.211 0.199 0.512
O21 0.743 0.607 0.372
O22 0.211 0.301 0.012
O23 0.362 0.847 0.404
O24 0.855 0.196 0.482
O25 0.257 0.107 0.128
O26 0.567 0.540 0.619
O27 0.561 0.324 0.721
O28 0.439 0.824 0.779
O29 0.439 0.676 0.279
O30 0.929 0.800 0.641
O31 0.561 0.176 0.221
O32 0.638 0.347 0.096
O33 0.013 0.711 0.864
O34 0.638 0.153 0.596
O35 0.987 0.289 0.136
O36 0.366 0.554 0.750
O37 0.071 0.200 0.359
O38 0.743 0.893 0.872
O39 0.145 0.804 0.518
O40 0.789 0.801 0.488
B1 0.795 0.734 0.890
B2 0.205 0.234 0.610
B3 0.565 0.551 0.320
B4 0.829 0.186 0.575
B5 0.435 0.449 0.680
B6 0.462 0.667 0.812
B7 0.538 0.333 0.188
B8 0.435 0.051 0.180
B9 0.049 0.300 0.948
B10 0.462 0.833 0.312
B11 0.171 0.686 0.925
B12 0.171 0.814 0.425
B13 0.951 0.700 0.052
B14 0.951 0.800 0.552
B15 0.049 0.200 0.448
B16 0.565 0.949 0.820
B17 0.795 0.766 0.390
B18 0.205 0.266 0.110
B19 0.538 0.167 0.688
B20 0.829 0.314 0.075
H1 0.416 0.978 0.935
H2 0.584 0.478 0.565
H3 0.416 0.522 0.435
H4 0.584 0.022 0.065
Ba1 0.492 0.155 0.394
Ba2 0.049 0.005 0.776
Ba3 0.951 0.505 0.724
Ba4 0.508 0.845 0.606
Ba5 0.492 0.345 0.894
Ba6 0.951 0.995 0.224
Ba7 0.049 0.495 0.276
Ba8 0.508 0.655 0.106

Properties
* electronic total energy: -12.87 eV/atom
* DOS at the Fermi energy: 0.0 states/eV/cell
* space group: No. 14